1.
Below is crystalline TcNiTeI2 at its relaxed geometry, with properties calculated at the PBE level.

Results
Energy above the most stable polymorph in this dataset, eV/f.u.: 0.44
Raw formation energy, eV per atom: 1.016
DOS(E_F), states/eV per cell: 15.86

Unit cell a=5.585 b=5.585 c=5.027 alpha=90.00 beta=90.00 gamma=90.00
Fractional coordinates of all 5 atoms:
Tc 0.000 0.000 0.000
Ni 0.500 0.500 0.500
Te 0.000 0.000 0.500
I 0.000 0.500 0.000
I 0.500 0.000 0.000

***

2.
Below is crystalline CdSbOs2 at its relaxed geometry, with properties calculated at the PBE level.

Results
Energy above the most stable polymorph in this dataset, eV/f.u.: 1.31
Raw formation energy, eV per atom: 0.663
DOS(E_F), states/eV per cell: 2.60

Unit cell a=4.573 b=4.573 c=4.573 alpha=60.00 beta=60.00 gamma=60.00
Fractional coordinates of all 4 atoms:
Cd 0.000 0.000 0.000
Sb 0.500 0.500 0.500
Os 0.250 0.250 0.250
Os 0.750 0.750 0.750

***

3.
Below is crystalline Rb2UI4O2 at its relaxed geometry, with properties calculated at the PBE level.

Results
Raw formation energy, eV per atom: -1.778

Unit cell a=7.661 b=7.661 c=7.008 alpha=98.81 beta=98.81 gamma=68.36
Fractional coordinates of all 9 atoms:
Rb 0.158 0.158 0.327
Rb 0.842 0.842 0.673
U 0.500 0.500 0.500
I 0.139 0.650 0.224
I 0.350 0.861 0.776
I 0.650 0.139 0.224
I 0.861 0.350 0.776
O 0.378 0.378 0.601
O 0.622 0.622 0.399

***

4.
Below is crystalline LaTmZnAg at its relaxed geometry, with properties calculated at the PBE level.

Results
Energy of formation from the pure elements, eV per atom: -0.287
Energy above the most stable polymorph in this dataset, eV/f.u.: 0.11
DOS(E_F), states/eV per cell: 2.38

Unit cell a=5.215 b=5.215 c=5.215 alpha=60.00 beta=60.00 gamma=60.00
Fractional coordinates of all 4 atoms:
La 0.000 0.000 0.000
Tm 0.500 0.500 0.500
Zn 0.250 0.250 0.250
Ag 0.750 0.750 0.750

***

no.,total energy (eV/cell)
1,-17.310
2,-24.847
3,-45.342
4,-14.673